*1*
A plane-wave DFT calculation with PBE-GGA was carried out for crystalline In2SeCl2 at its relaxed geometry.

```
data_In2SeCl2
_chemical_formula_sum 'In4 Se2 Cl4'
_cell_length_a 4.135
_cell_length_b 8.124
_cell_length_c 10.227
_cell_angle_alpha 89.76
_cell_angle_beta 89.97
_cell_angle_gamma 75.27
_space_group_name_H-M_alt 'P -1'
_space_group_IT_number 2
_space_group_name_Hall '-P 1'
loop_
_atom_site_label
_atom_site_fract_x
_atom_site_fract_y
_atom_site_fract_z
In1 0.053 0.395 0.247
In2 0.214 0.069 0.748
Se1 0.456 0.589 0.240
Cl1 0.162 0.176 0.423
Cl2 0.168 0.166 0.081
```


*2*
A plane-wave DFT calculation with PBE-GGA was carried out for crystalline In2SeCl2 at its relaxed geometry.

```
data_In2SeCl2
_chemical_formula_sum 'In4 Se2 Cl4'
_cell_length_a 7.942
_cell_length_b 7.942
_cell_length_c 4.437
_cell_angle_alpha 90.00
_cell_angle_beta 90.00
_cell_angle_gamma 90.00
_space_group_name_H-M_alt 'P 4/m b m'
_space_group_IT_number 127
_space_group_name_Hall '-P 4 2ab'
loop_
_atom_site_label
_atom_site_fract_x
_atom_site_fract_y
_atom_site_fract_z
In1 0.218 0.282 0.000
Se1 0.000 0.000 0.000
Cl1 0.142 0.642 0.500
```


What are the relative energies? In meV/atom: *1* 0; *2* 218.